# Nd2Y2CI2Br3

Crystalline Nd2Y2CI2Br3 at its relaxed geometry (PBE, OQMD via LeMat-Bulk).

Results
* offset from the most stable computed form: 0.000 eV/atom
* magnetization: 0.14 μB/f.u.
* energy: -5.290 eV/atom

Geometry as extended XYZ:
```
10
Lattice="9.475 -1.982 0.000 9.475 1.982 0.000 -1.840 0.000 8.231" Properties=species:S:1:pos:R:3 pbc="T T T"
I 1.757 0.000 6.777
I 15.353 0.000 1.454
Y 11.827 0.000 0.571
Y 5.284 0.000 7.660
Br 8.555 0.000 4.116
Br 14.651 0.000 5.570
Br 2.460 0.000 2.661
Nd -1.457 0.000 6.541
Nd 18.568 0.000 1.690
C 9.475 0.000 0.000
```


# Ba2NbNO3

Crystalline Ba2NbNO3 at its relaxed geometry (PBE, OQMD via LeMat-Bulk).

Results
* magnetization: 0.00 μB/f.u.
* energy: -7.618 eV/atom

Geometry as extended XYZ:
```
14
Lattice="-0.291 7.294 0.179 -1.137 5.019 -5.181 -5.750 -0.254 1.015" Properties=species:S:1:pos:R:3 pbc="T T T"
Ba -2.145 3.762 -2.795
Ba -2.560 7.341 -4.249
Ba -4.618 4.717 0.263
Ba -5.033 8.297 -1.191
O -5.010 3.531 -2.257
O -3.589 6.029 -1.993
O -1.729 4.749 -0.194
O -5.448 7.309 -3.792
O -2.167 8.528 -1.729
O -0.714 6.156 -2.501
Nb -1.923 6.706 -0.804
Nb -5.254 5.353 -3.183
N 0.000 0.000 0.000
N -2.875 -0.127 0.508
```


# LaY2Sn3PdPt2

Crystalline LaY2Sn3PdPt2 at its relaxed geometry (PBE, OQMD via LeMat-Bulk).

Results
* magnetization: 0.01 μB/f.u.
* energy: -6.280 eV/atom

Geometry as extended XYZ:
```
9
Lattice="-3.924 0.136 -1.145 -2.104 0.646 7.285 1.426 6.221 -4.146" Properties=species:S:1:pos:R:3 pbc="T T T"
Sn -0.911 4.709 -3.623
Sn -3.522 0.583 4.835
Sn -2.132 1.796 0.218
Y 0.569 6.478 -1.178
Y -1.522 3.176 5.593
Pt -1.702 4.442 -0.943
Pt -2.899 2.551 2.934
La -0.399 4.040 1.848
Pd -0.003 0.031 0.014
```


# BaNdN3

Crystalline BaNdN3 at its relaxed geometry (PBE, OQMD via LeMat-Bulk).

Results
* magnetization: 0.00 μB/f.u.
* energy: -6.739 eV/atom

Geometry as extended XYZ:
```
10
Lattice="7.156 0.000 0.000 0.000 3.726 0.000 -3.340 0.000 6.394" Properties=species:S:1:pos:R:3 pbc="T T T"
Nd 4.001 1.863 2.765
Nd -0.186 0.000 3.630
Ba 2.086 1.863 5.749
Ba 1.730 0.000 0.645
N 4.382 0.000 1.055
N -0.566 1.863 5.339
N -1.716 1.863 4.645
N 1.631 1.863 2.936
N 5.533 0.000 1.750
N 2.185 0.000 3.459
```


# CsNaCoTc

Crystalline CsNaCoTc at its relaxed geometry (PBE, OQMD via LeMat-Bulk).

Results
* offset from the most stable computed form: 0.317 eV/atom
* magnetization: 3.89 μB/f.u.
* energy: -3.047 eV/atom

Geometry as extended XYZ:
```
4
Lattice="0.000 3.584 3.584 3.584 0.000 3.584 3.584 3.584 0.000" Properties=species:S:1:pos:R:3 pbc="T T T"
Co 0.000 0.000 0.000
Cs 1.792 1.792 1.792
Na 5.376 5.376 5.376
Tc 3.584 3.584 3.584
```


# InIr2Pd2

Crystalline InIr2Pd2 at its relaxed geometry (PBE, OQMD via LeMat-Bulk).

Results
* magnetization: 0.00 μB/f.u.
* energy: -5.835 eV/atom

Geometry as extended XYZ:
```
10
Lattice="7.647 0.000 0.000 0.000 7.647 0.000 0.000 0.000 2.863" Properties=species:S:1:pos:R:3 pbc="T T T"
Pd 6.668 4.803 0.000
Pd 4.803 0.979 0.000
Pd 2.844 6.668 0.000
Pd 0.979 2.844 0.000
In 0.000 0.000 0.000
In 3.823 3.823 0.000
Ir 2.531 1.293 1.432
Ir 6.354 2.531 1.432
Ir 1.293 5.116 1.432
Ir 5.116 6.354 1.432
```


# Y3Te5Os

Crystalline Y3Te5Os at its relaxed geometry (PBE, OQMD via LeMat-Bulk).

Results
* offset from the most stable computed form: 0.025 eV/atom
* magnetization: 0.05 μB/f.u.
* energy: -5.867 eV/atom

Geometry as extended XYZ:
```
9
Lattice="8.686 0.000 0.000 -4.343 7.522 0.000 0.000 0.000 3.796" Properties=species:S:1:pos:R:3 pbc="T T T"
Y 5.603 0.000 0.000
Y 1.541 2.670 0.000
Y -2.802 4.853 0.000
Os 0.000 0.000 0.000
Te 3.364 5.826 1.898
Te 0.000 5.015 1.898
Te -0.979 1.696 1.898
Te 4.343 2.507 1.898
Te 1.958 0.000 1.898
```


# NdDyCu2

Crystalline NdDyCu2 at its relaxed geometry (PBE, OQMD via LeMat-Bulk).

Results
* offset from the most stable computed form: 0.003 eV/atom
* ΔE_f: -0.217 eV per atom
* magnetization: 0.01 μB/f.u.
* energy: -4.417 eV/atom

Geometry as extended XYZ:
```
8
Lattice="5.462 0.000 0.000 0.000 4.493 0.000 -0.217 0.000 7.196" Properties=species:S:1:pos:R:3 pbc="T T T"
Cu 3.236 3.370 6.977
Cu 4.712 3.370 3.340
Cu 0.532 1.123 3.856
Cu 2.009 1.123 0.220
Dy 0.541 3.370 5.918
Dy 4.704 1.123 1.278
Nd 3.307 1.123 4.919
Nd 1.938 3.370 2.277
```


# PrNpCu2Sb4

Crystalline PrNpCu2Sb4 at its relaxed geometry (PBE, OQMD via LeMat-Bulk).

Results
* magnetization: 3.68 μB/f.u.
* energy: -5.665 eV/atom

Geometry as extended XYZ:
```
8
Lattice="-1.685 -0.566 3.958 3.228 -2.727 0.985 5.415 7.638 3.398" Properties=species:S:1:pos:R:3 pbc="T T T"
Cu 1.832 3.490 3.657
Cu 4.289 2.410 2.171
Sb -0.785 -0.202 2.015
Sb 1.671 -1.283 0.528
Sb 4.285 3.309 4.676
Sb 1.794 2.531 1.126
Np 2.159 0.311 3.342
Pr 4.086 5.763 2.564
```


# Nb3FeCN

Crystalline Nb3FeCN at its relaxed geometry (PBE, OQMD via LeMat-Bulk).

Results
* magnetization: 1.53 μB/f.u.
* energy: -9.736 eV/atom

Geometry as extended XYZ:
```
12
Lattice="-0.787 2.406 -1.823 -2.208 -1.903 1.111 -1.720 10.573 14.697" Properties=species:S:1:pos:R:3 pbc="T T T"
Nb -0.860 5.286 7.348
Nb -2.838 6.313 9.558
Nb -3.211 8.611 12.751
Nb -1.878 4.762 4.427
Nb -1.504 2.465 1.234
Nb 0.000 0.000 0.000
C -2.853 10.754 12.755
C -1.863 0.322 1.229
Fe -1.288 7.916 11.004
Fe -0.432 2.656 3.693
N -2.469 4.047 6.407
N -2.247 7.029 7.577
```


# LuBiPd2

Crystalline LuBiPd2 at its relaxed geometry (PBE, OQMD via LeMat-Bulk).

Results
* magnetization: 0.00 μB/f.u.
* energy: -5.267 eV/atom

Geometry as extended XYZ:
```
4
Lattice="0.000 3.430 3.430 3.430 0.000 3.430 3.430 3.430 0.000" Properties=species:S:1:pos:R:3 pbc="T T T"
Lu 1.715 1.715 1.715
Pd 0.000 0.000 0.000
Pd 5.144 5.144 5.144
Bi 3.430 3.430 3.430
```


# LiTmAs

Crystalline LiTmAs at its relaxed geometry (PBE, OQMD via LeMat-Bulk).

Results
* offset from the most stable computed form: 0.167 eV/atom
* magnetization: 0.15 μB/f.u.
* energy: -4.351 eV/atom

Geometry as extended XYZ:
```
6
Lattice="4.708 0.000 0.000 0.000 4.708 0.000 0.000 0.000 6.663" Properties=species:S:1:pos:R:3 pbc="T T T"
Li 2.354 0.000 2.528
Li 0.000 2.354 4.135
As 0.000 2.354 1.572
As 2.354 0.000 5.091
Tm 0.000 0.000 0.000
Tm 2.354 2.354 0.000
```


Question: Which of these has the highest energy?
Answer: CsNaCoTc


Question: Which value of magnetization does entry 7 give?
Answer: 0.05 μB/f.u.


Question: Which value of magnetization does entry 2 give?
Answer: 0.00 μB/f.u.